LiGaRu | PBE | relaxed

Cell lengths 5.0078, 5.0078, 6.2570 Å; angles 108.80, 108.80, 34.41 degrees
Element x y z (fractional)
Li1 0.1747 0.1747 0.3272
Li2 0.8253 0.8253 0.6728
Ga1 0.5000 0.5000 0.0000
Ga2 0.5000 0.5000 0.5000
Ru1 0.1549 0.1549 0.8392
Ru2 0.8451 0.8451 0.1608

Output
offset from the most stable computed form: 0.0 meV per atom
VASP energy: -4.983 eV per atom
DOS at the Fermi energy: 3.0 states/eV/cell
total magnetization: 0.00 μB per formula unit
calculated formation energy: -0.244 eV per atom